First-principles (PBE) data for an optimized crystal structure of InSb2S6, as listed in Alexandria via LeMat-Bulk.

POSCAR file:
```
InSb2S6
1.0
6.132 0.000 0.000
0.000 6.132 0.000
0.000 0.000 11.741
Sb S In
4 12 2
Direct
0.500 0.500 0.334 Sb
0.000 0.000 0.834 Sb
0.500 0.500 0.666 Sb
0.000 0.000 0.166 Sb
0.804 0.196 0.669 S
0.304 0.304 0.831 S
0.196 0.804 0.669 S
0.192 0.808 0.000 S
0.804 0.196 0.331 S
0.308 0.308 0.500 S
0.692 0.692 0.500 S
0.304 0.304 0.169 S
0.696 0.696 0.169 S
0.196 0.804 0.331 S
0.808 0.192 0.000 S
0.696 0.696 0.831 S
0.000 0.000 0.500 In
0.500 0.500 0.000 In
```

Calculated values
Total energy (eV per atom): -4.013
Symmetry: No. 136
Formation energy without anion corrections (eV per atom): -0.0408
DOS at the Fermi energy (states/eV/cell): 9.28


First-principles (PBE) data for an optimized crystal structure of InMoAs2Br, as listed in Alexandria via LeMat-Bulk.

POSCAR file:
```
InMoAs2Br
1.0
4.858 0.000 0.000
0.000 4.858 0.000
0.000 0.000 5.633
As Mo Br In
2 1 1 1
Direct
0.500 0.000 0.000 As
0.000 0.500 0.000 As
0.000 0.000 0.000 Mo
0.000 0.000 0.500 Br
0.500 0.500 0.500 In
```

Calculated values
Total energy (eV per atom): -4.749
Symmetry: No. 123
Formation energy without anion corrections (eV per atom): 0.1591
Polymorph energy (0 for the lowest one) (meV per atom): 0
DOS at the Fermi energy (states/eV/cell): 3.45


First-principles (PBE) data for an optimized crystal structure of CuNiAs2, as listed in Alexandria via LeMat-Bulk.

POSCAR file:
```
CuNiAs2
1.0
-3.484 -2.330 1.377
0.486 -3.032 3.167
-1.684 0.714 4.015
Ni As Cu
1 2 1
Direct
0.750 0.750 0.750 Ni
0.250 0.250 0.250 As
0.000 0.000 0.000 As
0.500 0.500 0.500 Cu
```

Calculated values
ΔH_f (0 K) (eV/atom): 0.35
Total energy (eV per atom): -4.440
Symmetry: No. 216
DOS at the Fermi energy (states/eV/cell): 2.57


First-principles (PBE) data for an optimized crystal structure of Ca2TeRh, as listed in Alexandria via LeMat-Bulk.

POSCAR file:
```
Ca2TeRh
1.0
-6.147 -5.115 0.168
3.944 -4.903 -4.938
0.233 -6.529 0.191
Ca Rh Te
4 2 2
Direct
0.375 0.420 0.750 Ca
0.170 0.625 0.250 Ca
0.875 0.830 0.750 Ca
0.580 0.125 0.250 Ca
0.250 0.750 0.500 Rh
0.500 0.500 0.000 Rh
0.000 0.000 0.000 Te
0.750 0.250 0.500 Te
```

Calculated values
Total energy (eV per atom): -4.160
Symmetry: No. 122
Formation energy without anion corrections (eV per atom): -0.5361
DOS at the Fermi energy (states/eV/cell): 3.78


First-principles (PBE) data for an optimized crystal structure of Pm5NdPb6, as listed in Alexandria via LeMat-Bulk.

POSCAR file:
```
Pm5NdPb6
1.0
4.964 -0.308 0.789
-0.025 8.507 3.489
1.124 1.217 9.159
Pm Pb Nd
5 6 1
Direct
0.333 0.833 0.333 Pm
0.333 0.333 0.334 Pm
0.000 0.500 0.000 Pm
0.667 0.667 0.666 Pm
0.667 0.167 0.667 Pm
0.500 0.749 0.000 Pb
0.500 0.251 0.000 Pb
0.167 0.417 0.666 Pb
0.167 0.917 0.666 Pb
0.833 0.083 0.334 Pb
0.833 0.583 0.334 Pb
0.000 0.000 0.000 Nd
```

Calculated values
ΔH_f (0 K) (eV/atom): -0.51
Total energy (eV per atom): -4.738
Symmetry: No. 12
DOS at the Fermi energy (states/eV/cell): 11.63


First-principles (PBE) data for an optimized crystal structure of Mg2GePb2, as listed in Alexandria via LeMat-Bulk.

POSCAR file:
```
Mg2GePb2
1.0
-2.202 0.249 -3.782
0.588 -4.299 -0.625
-7.088 -3.403 1.362
Ge Mg Pb
1 2 2
Direct
0.000 0.000 0.000 Ge
0.595 0.595 0.810 Mg
0.405 0.405 0.190 Mg
0.250 0.750 0.500 Pb
0.750 0.250 0.500 Pb
```

Calculated values
ΔH_f (0 K) (eV/atom): 0.32
Total energy (eV per atom): -2.725
Symmetry: No. 139
Polymorph energy (0 for the lowest one) (meV per atom): 270
DOS at the Fermi energy (states/eV/cell): 3.06


First-principles (PBE) data for an optimized crystal structure of ReSb2Os, as listed in Alexandria via LeMat-Bulk.

POSCAR file:
```
ReSb2Os
1.0
-5.342 8.973 1.915
-7.717 7.047 1.874
-6.119 7.449 4.450
Sb Os Re
2 1 1
Direct
0.023 0.023 0.023 Sb
0.226 0.226 0.226 Sb
0.492 0.492 0.492 Os
0.759 0.759 0.759 Re
```

Calculated values
Total energy (eV per atom): -7.483
Symmetry: No. 160
Formation energy without anion corrections (eV per atom): 0.4980
Polymorph energy (0 for the lowest one) (meV per atom): 209
DOS at the Fermi energy (states/eV/cell): 2.99


First-principles (PBE) data for an optimized crystal structure of ZrAs3S, as listed in Alexandria via LeMat-Bulk.

POSCAR file:
```
ZrAs3S
1.0
-0.114 4.577 1.162
-2.025 1.002 -4.148
-4.266 -0.598 1.938
As Zr S
3 1 1
Direct
0.500 0.000 0.000 As
0.000 0.000 0.500 As
0.000 0.500 0.000 As
0.500 0.500 0.500 Zr
0.000 0.000 0.000 S
```

Calculated values
Total energy (eV per atom): -4.957
Symmetry: No. 221
Formation energy without anion corrections (eV per atom): 0.3675
Polymorph energy (0 for the lowest one) (meV per atom): 0
DOS at the Fermi energy (states/eV/cell): 3.97


First-principles (PBE) data for an optimized crystal structure of NpNi2Ge4Ru, as listed in Alexandria via LeMat-Bulk.

POSCAR file:
```
NpNi2Ge4Ru
1.0
-1.763 3.687 0.513
-3.641 0.804 -1.750
-5.861 -1.432 6.686
Ge Ni Np Ru
4 2 1 1
Direct
0.602 0.602 0.193 Ge
0.126 0.126 0.622 Ge
0.398 0.398 0.807 Ge
0.874 0.874 0.378 Ge
0.234 0.234 0.299 Ni
0.766 0.766 0.701 Ni
0.000 0.000 0.000 Np
0.500 0.500 0.500 Ru
```

Calculated values
ΔH_f (0 K) (eV/atom): -0.15
Total energy (eV per atom): -6.684
Symmetry: No. 166
DOS at the Fermi energy (states/eV/cell): 9.82


First-principles (PBE) data for an optimized crystal structure of PmGdLuTh, as listed in Alexandria via LeMat-Bulk.

POSCAR file:
```
PmGdLuTh
1.0
5.691 0.000 0.000
2.846 4.929 0.000
2.846 1.643 4.647
Pm Gd Lu Th
1 1 1 1
Direct
0.750 0.750 0.750 Pm
0.250 0.250 0.250 Gd
0.500 0.500 0.500 Lu
0.000 0.000 0.000 Th
```

Calculated values
ΔH_f (0 K) (eV/atom): 0.18
Total energy (eV per atom): -7.509
Symmetry: No. 216
DOS at the Fermi energy (states/eV/cell): 7.87


First-principles (PBE) data for an optimized crystal structure of NaHgSN2, as listed in Alexandria via LeMat-Bulk.

POSCAR file:
```
NaHgSN2
1.0
-1.246 2.449 3.446
-4.123 -1.501 -0.424
1.136 -4.050 3.289
N S Na Hg
2 1 1 1
Direct
0.500 0.000 0.000 N
0.000 0.500 0.000 N
0.000 0.000 0.500 S
0.500 0.500 0.500 Na
0.000 0.000 0.000 Hg
```

Calculated values
Total energy (eV per atom): -3.012
Symmetry: No. 123
Formation energy without anion corrections (eV per atom): 1.4674
Polymorph energy (0 for the lowest one) (meV per atom): 0
DOS at the Fermi energy (states/eV/cell): 3.44


First-principles (PBE) data for an optimized crystal structure of YEr2Ag6, as listed in Alexandria via LeMat-Bulk.

POSCAR file:
```
YEr2Ag6
1.0
-1.976 4.847 -0.868
-3.443 2.079 3.421
4.344 4.256 5.860
Er Ag Y
2 6 1
Direct
0.500 0.165 0.170 Er
0.500 0.835 0.830 Er
0.675 0.663 0.500 Ag
0.166 0.497 0.835 Ag
0.834 0.503 0.165 Ag
0.166 0.832 0.165 Ag
0.834 0.168 0.835 Ag
0.325 0.337 0.500 Ag
0.000 0.000 0.500 Y
```

Calculated values
ΔH_f (0 K) (eV/atom): -0.26
Total energy (eV per atom): -3.890
Symmetry: No. 12
DOS at the Fermi energy (states/eV/cell): 4.69